Computed, not measured: an optimized crystal structure of BaHg6Pb2 at the PBE-GGA level of DFT.

a = 6.1915 Å, b = 6.1915 Å, c = 9.1640 Å
α = 90.00°, β = 90.00°, γ = 120.00°
Space group P6/mmm (No. 191)
Asymmetric unit:
Ba 0.0000 0.0000 0.0000
Hg 0.0000 0.5000 0.1873
Pb 0.3333 0.6667 0.5000

Computed properties:
size of the total moment: 0.0 μB per formula unit
E_form: -0.0724 eV/atom
relative energy among the computed polymorphs: 0.077 eV/atom